## Er9In3O2 (GGA-PBE)

Data for Er9In3O2 after structural relaxation.

## Properties
Total DFT energy (no corrections) in eV/f.u.: -74.0

```
Er9In3O2
1.0
6.748 0.000 0.000
-3.374 5.844 0.000
0.000 0.000 8.288
Er In O
9 3 2
direct
0.000 0.500 0.000
0.168 0.335 0.668
0.168 0.832 0.668
0.335 0.168 0.332
0.500 0.000 0.000
0.500 0.500 0.000
0.665 0.832 0.668
0.832 0.168 0.332
0.832 0.665 0.332
0.000 0.000 0.000
0.333 0.667 0.332
0.667 0.333 0.668
0.333 0.667 0.843
0.667 0.333 0.157
```